The following is a GGA-PBE calculation of a relaxed structure of Pm4Er3Pu, from Alexandria.

ΔE_f = 0.156 eV/atom
Electronic total energy = -91.551 eV/cell
M_tot = 12.7 μB/cell

Geometry as CIF:
```
data_Pm4Er3Pu
_chemical_formula_sum 'Pm8 Er6 Pu2'
_cell_length_a 3.456
_cell_length_b 11.596
_cell_length_c 12.879
_cell_angle_alpha 90.00
_cell_angle_beta 90.00
_cell_angle_gamma 90.00
_space_group_name_H-M_alt 'I m m m'
_space_group_IT_number 71
_space_group_name_Hall '-I 2 2'
loop_
_atom_site_label
_atom_site_type_symbol
_atom_site_fract_x
_atom_site_fract_y
_atom_site_fract_z
Pm1 Pm 0.000 0.248 0.131
Er1 Er 0.000 0.000 0.500
Er2 Er 0.000 0.500 0.266
Pu1 Pu 0.000 0.000 0.000
```


The following is a GGA-PBE calculation of a relaxed structure of TaSiTe2, from Alexandria.

Electronic total energy = -67.658 eV/cell
M_tot = 0.0 μB/cell
Uncorrected formation energy = 252 meV/atom

Geometry as CIF:
```
data_TaSiTe2
_chemical_formula_sum 'Ta3 Si3 Te6'
_cell_length_a 3.5152
_cell_length_b 3.5152
_cell_length_c 26.2245
_cell_angle_alpha 90.00
_cell_angle_beta 90.00
_cell_angle_gamma 120.00
_space_group_name_H-M_alt 'R -3 m'
_space_group_IT_number 166
_space_group_name_Hall '-R 3 2"'
loop_
_atom_site_label
_atom_site_type_symbol
_atom_site_fract_x
_atom_site_fract_y
_atom_site_fract_z
Ta1 Ta 0.0000 0.0000 0.0000
Si1 Si 0.0000 0.0000 0.5000
Te1 Te 0.0000 0.0000 0.2590
```


The following is a GGA-PBE calculation of a relaxed structure of YTlOs2Cl, from Alexandria.

Electronic total energy = -23.547 eV/cell
M_tot = 3.8 μB/cell
Uncorrected formation energy = 1918 meV/atom

Geometry as CIF:
```
data_YTlOs2Cl
_chemical_formula_sum 'Y1 Tl1 Os2 Cl1'
_cell_length_a 5.098
_cell_length_b 5.098
_cell_length_c 6.502
_cell_angle_alpha 90.00
_cell_angle_beta 90.00
_cell_angle_gamma 90.00
_space_group_name_H-M_alt 'P 4/m m m'
_space_group_IT_number 123
_space_group_name_Hall '-P 4 2'
loop_
_atom_site_label
_atom_site_type_symbol
_atom_site_fract_x
_atom_site_fract_y
_atom_site_fract_z
Y1 Y 0.000 0.000 0.000
Tl1 Tl 0.000 0.000 0.500
Os1 Os 0.000 0.500 0.000
Cl1 Cl 0.500 0.500 0.500
```


The following is a GGA-PBE calculation of a relaxed structure of RuS3F, from Alexandria.

Electronic total energy = -21.646 eV/cell
M_tot = 0.0 μB/cell
Uncorrected formation energy = 377 meV/atom
Polymorph energy (0 for the lowest one) = 0.0 kJ/mol of atoms

Geometry as CIF:
```
data_RuS3F
_chemical_formula_sum 'Ru1 S3 F1'
_cell_length_a 4.536
_cell_length_b 4.536
_cell_length_c 4.536
_cell_angle_alpha 90.00
_cell_angle_beta 90.00
_cell_angle_gamma 90.00
_space_group_name_H-M_alt 'P m -3 m'
_space_group_IT_number 221
_space_group_name_Hall '-P 4 2 3'
loop_
_atom_site_label
_atom_site_type_symbol
_atom_site_fract_x
_atom_site_fract_y
_atom_site_fract_z
Ru1 Ru 0.000 0.000 0.000
S1 S 0.000 0.000 0.500
F1 F 0.500 0.500 0.500
```


The following is a GGA-PBE calculation of a relaxed structure of RbP2H8, from Alexandria.

Electronic total energy = -74.837 eV/cell
M_tot = 0.0 μB/cell
Polymorph energy (0 for the lowest one) = 2.2 kJ/mol of atoms

Geometry as CIF:
```
data_RbP2H8
_chemical_formula_sum 'Rb2 P4 H16'
_cell_length_a 9.512
_cell_length_b 5.110
_cell_length_c 6.992
_cell_angle_alpha 90.00
_cell_angle_beta 124.87
_cell_angle_gamma 90.00
_space_group_name_H-M_alt 'C 1 2/m 1'
_space_group_IT_number 12
_space_group_name_Hall '-C 2y'
loop_
_atom_site_label
_atom_site_type_symbol
_atom_site_fract_x
_atom_site_fract_y
_atom_site_fract_z
Rb1 Rb 0.000 0.000 0.000
P1 P 0.163 0.000 0.672
H1 H 0.167 0.311 0.674
H2 H 0.170 0.500 0.103
H3 H 0.223 0.000 0.526
```


The following is a GGA-PBE calculation of a relaxed structure of Pr4Sn8Rh, from Alexandria.

ΔE_f = -0.663 eV/atom
Electronic total energy = -67.113 eV/cell
M_tot = 0.0 μB/cell

Geometry as CIF:
```
data_Pr4Sn8Rh
_chemical_formula_sum 'Pr4 Sn8 Rh1'
_cell_length_a 4.507
_cell_length_b 4.587
_cell_length_c 17.257
_cell_angle_alpha 90.00
_cell_angle_beta 90.00
_cell_angle_gamma 90.00
_space_group_name_H-M_alt 'P m m 2'
_space_group_IT_number 25
_space_group_name_Hall 'P 2 -2'
loop_
_atom_site_label
_atom_site_type_symbol
_atom_site_fract_x
_atom_site_fract_y
_atom_site_fract_z
Pr1 Pr 0.000 0.000 0.000
Pr2 Pr 0.000 0.500 0.489
Pr3 Pr 0.500 0.000 0.789
Pr4 Pr 0.500 0.500 0.293
Sn1 Sn 0.000 0.000 0.329
Sn2 Sn 0.000 0.000 0.628
Sn3 Sn 0.000 0.500 0.145
Sn4 Sn 0.000 0.500 0.854
Sn5 Sn 0.500 0.000 0.148
Sn6 Sn 0.500 0.000 0.449
Sn7 Sn 0.500 0.500 0.627
Sn8 Sn 0.500 0.500 0.967
Rh1 Rh 0.000 0.500 0.704
```


The following is a GGA-PBE calculation of a relaxed structure of AgIrRu3, from Alexandria.

ΔE_f = 1.718 eV/atom
Electronic total energy = -30.948 eV/cell
M_tot = 1.7 μB/cell
Polymorph energy (0 for the lowest one) = 0.0 kJ/mol of atoms

Geometry as CIF:
```
data_AgIrRu3
_chemical_formula_sum 'Ag1 Ir1 Ru3'
_cell_length_a 4.699
_cell_length_b 4.699
_cell_length_c 4.699
_cell_angle_alpha 90.00
_cell_angle_beta 90.00
_cell_angle_gamma 90.00
_space_group_name_H-M_alt 'P m -3 m'
_space_group_IT_number 221
_space_group_name_Hall '-P 4 2 3'
loop_
_atom_site_label
_atom_site_type_symbol
_atom_site_fract_x
_atom_site_fract_y
_atom_site_fract_z
Ag1 Ag 0.000 0.000 0.000
Ir1 Ir 0.500 0.500 0.500
Ru1 Ru 0.000 0.500 0.500
```


The following is a GGA-PBE calculation of a relaxed structure of BC5, from Alexandria.

ΔE_f = 0.246 eV/atom
Electronic total energy = -102.646 eV/cell
M_tot = 0.0 μB/cell
Polymorph energy (0 for the lowest one) = 3.5 kJ/mol of atoms

Geometry as CIF:
```
data_BC5
_chemical_formula_sum 'B2 C10'
_cell_length_a 2.5524
_cell_length_b 2.5524
_cell_length_c 12.7831
_cell_angle_alpha 90.00
_cell_angle_beta 90.00
_cell_angle_gamma 120.00
_space_group_name_H-M_alt 'P -3 m 1'
_space_group_IT_number 164
_space_group_name_Hall '-P 3 2"'
loop_
_atom_site_label
_atom_site_type_symbol
_atom_site_fract_x
_atom_site_fract_y
_atom_site_fract_z
B1 B 0.3333 0.6667 0.2278
C1 C 0.0000 0.0000 0.0630
C2 C 0.0000 0.0000 0.4395
C3 C 0.3333 0.6667 0.0998
C4 C 0.3333 0.6667 0.6019
C5 C 0.3333 0.6667 0.7203
```


The following is a GGA-PBE calculation of a relaxed structure of SrTmBi2O8, from Alexandria.

Electronic total energy = -146.437 eV/cell
M_tot = 2.2 μB/cell
Uncorrected formation energy = -1636 meV/atom

Geometry as CIF:
```
data_SrTmBi2O8
_chemical_formula_sum 'Sr2 Tm2 Bi4 O16'
_cell_length_a 5.512
_cell_length_b 5.512
_cell_length_c 11.293
_cell_angle_alpha 90.00
_cell_angle_beta 90.00
_cell_angle_gamma 90.00
_space_group_name_H-M_alt 'I -4'
_space_group_IT_number 82
_space_group_name_Hall 'I -4'
loop_
_atom_site_label
_atom_site_type_symbol
_atom_site_fract_x
_atom_site_fract_y
_atom_site_fract_z
Sr1 Sr 0.000 0.000 0.000
Tm1 Tm 0.000 0.500 0.750
Bi1 Bi 0.000 0.000 0.500
Bi2 Bi 0.000 0.500 0.250
O1 O 0.187 0.252 0.603
O2 O 0.219 0.742 0.158
```


The following is a GGA-PBE calculation of a relaxed structure of Be2SiIr, from Alexandria.

Electronic total energy = -41.604 eV/cell
M_tot = 0.0 μB/cell
Uncorrected formation energy = 234 meV/atom

Geometry as CIF:
```
data_Be2SiIr
_chemical_formula_sum 'Be4 Si2 Ir2'
_cell_length_a 2.743
_cell_length_b 4.681
_cell_length_c 7.646
_cell_angle_alpha 90.00
_cell_angle_beta 90.00
_cell_angle_gamma 90.00
_space_group_name_H-M_alt 'C m m 2'
_space_group_IT_number 35
_space_group_name_Hall 'C 2 -2'
loop_
_atom_site_label
_atom_site_type_symbol
_atom_site_fract_x
_atom_site_fract_y
_atom_site_fract_z
Be1 Be 0.000 0.000 0.000
Be2 Be 0.000 0.500 0.236
Si1 Si 0.000 0.500 0.751
Ir1 Ir 0.000 0.000 0.484
```


The following is a GGA-PBE calculation of a relaxed structure of HoAl2Au7, from Alexandria.

ΔE_f = -0.305 eV/atom
Electronic total energy = -76.107 eV/cell
M_tot = 0.0 μB/cell

Geometry as CIF:
```
data_HoAl2Au7
_chemical_formula_sum 'Ho2 Al4 Au14'
_cell_length_a 7.518
_cell_length_b 12.796
_cell_length_c 4.676
_cell_angle_alpha 90.00
_cell_angle_beta 90.00
_cell_angle_gamma 90.00
_space_group_name_H-M_alt 'C m m m'
_space_group_IT_number 65
_space_group_name_Hall '-C 2 2'
loop_
_atom_site_label
_atom_site_type_symbol
_atom_site_fract_x
_atom_site_fract_y
_atom_site_fract_z
Ho1 Ho 0.000 0.000 0.000
Al1 Al 0.000 0.299 0.500
Au1 Au 0.000 0.225 0.000
Au2 Au 0.000 0.500 0.500
Au3 Au 0.186 0.116 0.500
```


The following is a GGA-PBE calculation of a relaxed structure of CsNpHg2Br8, from Alexandria.

Electronic total energy = -39.290 eV/cell
M_tot = 4.0 μB/cell
Uncorrected formation energy = -959 meV/atom

Geometry as CIF:
```
data_CsNpHg2Br8
_chemical_formula_sum 'Cs1 Np1 Hg2 Br8'
_cell_length_a 7.039
_cell_length_b 7.944
_cell_length_c 10.142
_cell_angle_alpha 69.08
_cell_angle_beta 81.92
_cell_angle_gamma 86.47
_space_group_name_H-M_alt 'P -1'
_space_group_IT_number 2
_space_group_name_Hall '-P 1'
loop_
_atom_site_label
_atom_site_type_symbol
_atom_site_fract_x
_atom_site_fract_y
_atom_site_fract_z
Cs1 Cs 0.000 0.000 0.000
Np1 Np 0.000 0.500 0.500
Hg1 Hg 0.452 0.531 0.203
Br1 Br 0.154 0.467 0.757
Br2 Br 0.238 0.797 0.335
Br3 Br 0.310 0.269 0.431
Br4 Br 0.470 0.765 0.949
```